The following is a DFT calculation (SCAN) of a PBEsol-optimized structure of TlGaOF2.

a b c (Å): 4.533 4.533 4.056
angles (deg): 90.00 90.00 90.00
Sites, in units of the cell vectors:
Tl: 0.000 0.000 0.000
Ga: 0.500 0.500 0.500
O: 0.000 0.000 0.500
F: 0.000 0.500 0.000
F: 0.500 0.000 0.000

E_tot: -107.9 eV per cell
Total moment: 0.00 μB per formula unit
Raw formation energy: -1168 meV per atom